Record 1
Material: SrCaLa2Fe
Method: DFT, PBE
State: relaxed Values from VASP.

Calculated formation energy: 0.1346 eV/atom
Uncorrected energy: -21.3 eV per cell
Volume: 176 Å³ per cell
Space-group type: P4/mmm (123)
Size of the total moment: 0.000 μB per atom

Geometry as Quantum ESPRESSO input:
```
&SYSTEM
  ibrav = 0, nat = 5, ntyp = 4
/
ATOMIC_SPECIES
Sr 87.62 Sr.upf
Ca 40.08 Ca.upf
La 138.91 La.upf
Fe 55.84 Fe.upf
CELL_PARAMETERS angstrom
5.326 0.000 0.000
0.000 5.326 0.000
0.000 0.000 6.220
ATOMIC_POSITIONS crystal
Sr 0.000 0.000 0.000
Ca 0.500 0.500 0.000
La 0.000 0.500 0.500
La 0.500 0.000 0.500
Fe 0.000 0.000 0.500
```

=====

Record 2
Material: CaLaY2Fe
Method: DFT, PBE
State: relaxed Values from VASP.

Calculated formation energy: 0.0490 eV/atom
Uncorrected energy: -28.1 eV per cell
Volume: 157 Å³ per cell
Space-group type: P4/mmm (123)
Size of the total moment: 0.000 μB per atom

Geometry as Quantum ESPRESSO input:
```
&SYSTEM
  ibrav = 0, nat = 5, ntyp = 4
/
ATOMIC_SPECIES
Ca 40.08 Ca.upf
La 138.91 La.upf
Y 88.91 Y.upf
Fe 55.84 Fe.upf
CELL_PARAMETERS angstrom
5.454 0.000 0.000
0.000 5.454 0.000
0.000 0.000 5.267
ATOMIC_POSITIONS crystal
Ca 0.000 0.000 0.000
La 0.500 0.500 0.000
Y 0.000 0.500 0.500
Y 0.500 0.000 0.500
Fe 0.500 0.500 0.500
```

=====

Record 3
Material: CaLa2YFe
Method: DFT, PBE
State: relaxed Values from VASP.

Calculated formation energy: 0.0430 eV/atom
Uncorrected energy: -26.6 eV per cell
Volume: 162 Å³ per cell
Space-group type: P4/mmm (123)
Size of the total moment: 0.000 μB per atom

Geometry as Quantum ESPRESSO input:
```
&SYSTEM
  ibrav = 0, nat = 5, ntyp = 4
/
ATOMIC_SPECIES
Ca 40.08 Ca.upf
La 138.91 La.upf
Y 88.91 Y.upf
Fe 55.84 Fe.upf
CELL_PARAMETERS angstrom
5.378 0.000 0.000
0.000 5.378 0.000
0.000 0.000 5.603
ATOMIC_POSITIONS crystal
Ca 0.000 0.000 0.000
La 0.000 0.500 0.500
La 0.500 0.000 0.500
Y 0.500 0.500 0.000
Fe 0.500 0.500 0.500
```

=====

Record 4
Material: CaLa2ZnFe
Method: DFT, PBE
State: relaxed Values from VASP.

Calculated formation energy: 0.0431 eV/atom
Uncorrected energy: -21.4 eV per cell
Volume: 138 Å³ per cell
Space-group type: P4/mmm (123)
Size of the total moment: 0.001 μB per atom

Geometry as Quantum ESPRESSO input:
```
&SYSTEM
  ibrav = 0, nat = 5, ntyp = 4
/
ATOMIC_SPECIES
Ca 40.08 Ca.upf
La 138.91 La.upf
Zn 65.41 Zn.upf
Fe 55.84 Fe.upf
CELL_PARAMETERS angstrom
5.206 0.000 0.000
0.000 5.206 0.000
0.000 0.000 5.108
ATOMIC_POSITIONS crystal
Ca 0.000 0.000 0.000
La 0.000 0.500 0.500
La 0.500 0.000 0.500
Zn 0.500 0.500 0.000
Fe 0.500 0.500 0.500
```